Record 1
Compound: H5Cl
Source: Alexandria
Functional: GGA-PBE
Structure: optimized geometry

Results
Calculated density (kg/m3): 1098
Raw total energy (eV per atom): -2.478

a = 8.795 Å, b = 8.795 Å, c = 2.354 Å
α = 90.00°, β = 90.00°, γ = 160.34°
Fractional positions:
H (0.000, 0.000, 0.000)
H (0.176, 0.824, 0.000)
H (0.176, 0.824, 0.500)
H (0.824, 0.176, 0.000)
H (0.824, 0.176, 0.500)
Cl (0.500, 0.500, 0.500)


Record 2
Compound: HCl4
Source: Alexandria
Functional: GGA-PBE
Structure: optimized geometry

Results
Calculated density (kg/m3): 2666
Raw total energy (eV per atom): -1.315

a = 4.464 Å, b = 4.464 Å, c = 4.464 Å
α = 90.00°, β = 90.00°, γ = 90.00°
Fractional positions:
H (0.000, 0.000, 0.000)
Cl (0.000, 0.000, 0.500)
Cl (0.000, 0.500, 0.000)
Cl (0.500, 0.000, 0.000)
Cl (0.500, 0.500, 0.500)


Record 3
Compound: HCl3
Source: Alexandria
Functional: GGA-PBE
Structure: optimized geometry

Results
Polymorph energy (0 for the lowest one) (eV per formula unit): 2.78
Calculated density (kg/m3): 1995
Raw total energy (eV per atom): -1.756

a = 5.624 Å, b = 5.624 Å, c = 5.624 Å
α = 148.10°, β = 102.40°, γ = 86.35°
Fractional positions:
H (0.000, 0.000, 0.000)
Cl (0.176, 0.500, 0.676)
Cl (0.500, 0.000, 0.500)
Cl (0.824, 0.500, 0.324)


Record 4
Compound: HCl3
Source: Alexandria
Functional: GGA-PBE
Structure: optimized geometry

Results
Polymorph energy (0 for the lowest one) (eV per formula unit): 1.82
Calculated density (kg/m3): 2032
Raw total energy (eV per atom): -1.995

a = 11.061 Å, b = 11.061 Å, c = 11.061 Å
α = 15.83°, β = 15.83°, γ = 15.83°
Fractional positions:
H (0.000, 0.000, 0.000)
Cl (0.048, 0.048, 0.048)
Cl (0.500, 0.500, 0.500)
Cl (0.952, 0.952, 0.952)